# 1
A plane-wave DFT calculation with PBE-GGA was carried out for YGaCo2Hg after structural relaxation.

Values from the calculation:
Crystal system = tetragonal
N(E_F) = 1.1237 states/eV per atom
Total magnetization = 2.840 μB/f.u.
Total energy = -4.271 eV per atom

a b c (Å): 4.5072 4.5072 5.3098
angles (deg): 90.00 90.00 90.00
Closest atoms and distances in Å follow each position.
Sites, in units of the cell vectors:
Y: 0.0000 0.0000 0.0000  2 Ga 2.65
Ga: 0.0000 0.0000 0.5000  4 Co 2.25
Co: 0.0000 0.5000 0.5000  2 Ga 2.25
Co: 0.5000 0.0000 0.5000  2 Ga 2.25
Hg: 0.5000 0.5000 0.0000  4 Y 3.19, 8 Co 3.48

# 2
A plane-wave DFT calculation with PBE-GGA was carried out for YGa2CoHg after structural relaxation.

Values from the calculation:
Crystal system = tetragonal
N(E_F) = 0.6284 states/eV per atom
Total magnetization = 0.000 μB/f.u.
Total energy = -4.259 eV per atom

a b c (Å): 4.6234 4.6234 5.0289
angles (deg): 90.00 90.00 90.00
Closest atoms and distances in Å follow each position.
Sites, in units of the cell vectors:
Y: 0.0000 0.0000 0.0000  2 Co 2.51
Ga: 0.0000 0.5000 0.5000  2 Co 2.31
Ga: 0.5000 0.0000 0.5000  2 Co 2.31
Co: 0.0000 0.0000 0.5000  4 Ga 2.31, 2 Y 2.51
Hg: 0.5000 0.5000 0.0000  4 Y 3.27, 8 Ga 3.42

# 3
A plane-wave DFT calculation with PBE-GGA was carried out for ZnGa2CoHg after structural relaxation.

Values from the calculation:
Crystal system = tetragonal
N(E_F) = 0.4478 states/eV per atom
Total magnetization = 0.000 μB/f.u.
Total energy = -2.921 eV per atom

a b c (Å): 4.5769 4.5769 4.7478
angles (deg): 90.00 90.00 90.00
Closest atoms and distances in Å follow each position.
Sites, in units of the cell vectors:
Zn: 0.0000 0.0000 0.0000  2 Co 2.37
Ga: 0.0000 0.5000 0.5000  2 Co 2.29
Ga: 0.5000 0.0000 0.5000  2 Co 2.29
Co: 0.0000 0.0000 0.5000  4 Ga 2.29, 2 Zn 2.37
Hg: 0.5000 0.5000 0.0000  4 Zn 3.24, 8 Ga 3.30

# 4
A plane-wave DFT calculation with PBE-GGA was carried out for Ho5Ga2Co after structural relaxation.

Values from the calculation:
Crystal system = tetragonal
N(E_F) = 0.8956 states/eV per atom
Total magnetization = 0.000 μB/f.u.
Total energy = -4.672 eV per atom

a b c (Å): 6.3733 6.3733 6.3733
angles (deg): 116.20 116.20 96.71
Closest atoms and distances in Å follow each position.
Sites, in units of the cell vectors:
Ho: 0.0000 0.0000 0.0000  8 Ho 3.12-3.25, 1 Co 3.22, 4 Ga 3.37
Ho: 0.4882 0.4882 0.5041  1 Co 2.69
Ho: 0.4882 0.9841 0.0000  1 Co 2.69
Ho: 0.9841 0.4882 0.0000  1 Co 2.69
Ho: 0.9841 0.9841 0.4959  1 Co 2.69
Ga: 0.4829 0.9829 0.5000  10 Ho 3.17-3.37, 2 Co 3.48
Ga: 0.9829 0.4829 0.5000  10 Ho 3.17-3.37, 2 Co 3.48
Co: 0.3802 0.3802 0.0000  4 Ho 2.69

# 5
A plane-wave DFT calculation with PBE-GGA was carried out for Ho2Ga6Co after structural relaxation.

Values from the calculation:
Energy above the most stable polymorph in this dataset = 0.00 kJ/mol of atoms
Crystal system = cubic
N(E_F) = 0.2910 states/eV per atom
Total magnetization = 0.000 μB/f.u.
Total energy = -4.364 eV per atom

a b c (Å): 6.1058 6.1058 6.1058
angles (deg): 60.00 60.00 60.00
Closest atoms and distances in Å follow each position.
Sites, in units of the cell vectors:
Ho: 0.2500 0.2500 0.2500  12 Ga 3.06
Ho: 0.7500 0.7500 0.7500  12 Ga 3.06
Ga: 0.2236 0.2236 0.7764  1 Co 2.39
Ga: 0.2236 0.7764 0.2236  1 Co 2.39
Ga: 0.2236 0.7764 0.7764  1 Co 2.39
Ga: 0.7764 0.2236 0.2236  1 Co 2.39
Ga: 0.7764 0.2236 0.7764  1 Co 2.39
Ga: 0.7764 0.7764 0.2236  1 Co 2.39
Co: 0.5000 0.5000 0.5000  6 Ga 2.39

# 6
A plane-wave DFT calculation with PBE-GGA was carried out for Ho3Ga7Co2 after structural relaxation.

Values from the calculation:
Energy above the most stable polymorph in this dataset = 0.00 kJ/mol of atoms
Crystal system = orthorhombic
N(E_F) = 0.6990 states/eV per atom
Total magnetization = 0.000 μB/f.u.
Total energy = -4.539 eV per atom

a b c (Å): 13.9043 13.9043 3.9160
angles (deg): 90.00 90.00 162.96
Closest atoms and distances in Å follow each position.
Sites, in units of the cell vectors:
Ho: 0.0000 0.0000 0.0000  12 Ga 2.84-3.12
Ho: 0.1749 0.8251 0.0000  4 Co 3.01, 8 Ga 3.12-3.22
Ho: 0.8251 0.1749 0.0000  4 Co 3.01, 8 Ga 3.12-3.22
Ga: 0.0866 0.9134 0.5000  2 Co 2.51
Ga: 0.2761 0.7239 0.5000  1 Co 2.34, 2 Ga 2.51
Ga: 0.4148 0.5852 0.0000  2 Co 2.45
Ga: 0.5000 0.5000 0.5000  4 Ho 2.84, 8 Ga 3.05-3.15
Ga: 0.5852 0.4148 0.0000  2 Co 2.45
Ga: 0.7239 0.2761 0.5000  1 Co 2.34, 2 Ga 2.51
Ga: 0.9134 0.0866 0.5000  2 Co 2.51
Co: 0.3613 0.6387 0.5000  5 Ga 2.34-2.51
Co: 0.6387 0.3613 0.5000  5 Ga 2.34-2.51

# 7
A plane-wave DFT calculation with PBE-GGA was carried out for HoGa2Co after structural relaxation.

Values from the calculation:
Crystal system = trigonal
N(E_F) = 0.9072 states/eV per atom
Total magnetization = 0.173 μB/f.u.
Total energy = -4.892 eV per atom

a b c (Å): 5.5267 5.5267 5.5267
angles (deg): 43.16 43.16 43.16
Closest atoms and distances in Å follow each position.
Sites, in units of the cell vectors:
Ho: 0.0000 0.0000 0.0000  8 Ga 2.97-3.19
Ga: 0.2125 0.2125 0.2125  3 Co 2.45, 3 Ga 2.72
Ga: 0.7875 0.7875 0.7875  3 Co 2.45, 3 Ga 2.72
Co: 0.5000 0.5000 0.5000  6 Ga 2.45

# 8
A plane-wave DFT calculation with PBE-GGA was carried out for Ho5GaCo after structural relaxation.

Values from the calculation:
Crystal system = monoclinic
N(E_F) = 1.0561 states/eV per atom
Total magnetization = 0.000 μB/f.u.
Total energy = -4.823 eV per atom

a b c (Å): 5.9286 5.9286 11.2703
angles (deg): 103.78 103.78 73.92
Closest atoms and distances in Å follow each position.
Sites, in units of the cell vectors:
Ho: 0.0126 0.9874 0.7500  2 Co 2.82, 1 Ga 2.91
Ho: 0.0836 0.4130 0.1300  1 Co 2.65, 1 Ga 2.93
Ho: 0.2124 0.5598 0.4456  1 Co 2.56
Ho: 0.4130 0.0836 0.6300  1 Co 2.65, 1 Ga 2.93
Ho: 0.4402 0.7876 0.0544  1 Co 2.56
Ho: 0.5598 0.2124 0.9456  1 Co 2.56
Ho: 0.5870 0.9164 0.3700  1 Co 2.65, 1 Ga 2.93
Ho: 0.7876 0.4402 0.5544  1 Co 2.56
Ho: 0.9164 0.5870 0.8700  1 Co 2.65, 1 Ga 2.93
Ho: 0.9874 0.0126 0.2500  2 Co 2.82, 1 Ga 2.91
Ga: 0.4213 0.5787 0.7500  3 Ho 2.91-2.93
Ga: 0.5787 0.4213 0.2500  3 Ho 2.91-2.93
Co: 0.0000 0.0000 0.0000  6 Ho 2.56-2.82
Co: 0.0000 0.0000 0.5000  6 Ho 2.56-2.82

# 9
A plane-wave DFT calculation with PBE-GGA was carried out for Ho3Ga3Co after structural relaxation.

Values from the calculation:
Crystal system = monoclinic
N(E_F) = 0.7375 states/eV per atom
Total magnetization = 0.000 μB/f.u.
Total energy = -4.834 eV per atom

a b c (Å): 5.7596 5.7596 14.0384
angles (deg): 108.70 108.70 42.67
Closest atoms and distances in Å follow each position.
Sites, in units of the cell vectors:
Ho: 0.0310 0.0310 0.3853  7 Ga 2.96-3.27, 4 Co 3.04-3.19
Ho: 0.1057 0.1057 0.9209  7 Ga 3.02-3.13
Ho: 0.2431 0.2431 0.2377  6 Ga 2.91-3.17, 2 Co 3.15
Ho: 0.7569 0.7569 0.7623  6 Ga 2.91-3.17, 2 Co 3.15
Ho: 0.8943 0.8943 0.0791  7 Ga 3.02-3.13
Ho: 0.9690 0.9690 0.6147  7 Ga 2.96-3.27, 4 Co 3.04-3.19
Ga: 0.3552 0.3552 0.4585  3 Co 2.40-2.49
Ga: 0.3894 0.3894 0.9230  2 Ga 2.60-2.64
Ga: 0.4605 0.4605 0.7609  1 Co 2.59, 1 Ga 2.64
Ga: 0.5395 0.5395 0.2391  1 Co 2.59, 1 Ga 2.64
Ga: 0.6106 0.6106 0.0770  2 Ga 2.60-2.64
Ga: 0.6448 0.6448 0.5415  3 Co 2.40-2.49
Co: 0.2564 0.2564 0.5948  4 Ga 2.40-2.59
Co: 0.7436 0.7436 0.4052  4 Ga 2.40-2.59

# 10
A plane-wave DFT calculation with PBE-GGA was carried out for Ho11Ga9Co4 after structural relaxation.

Values from the calculation:
Crystal system = orthorhombic
N(E_F) = 0.5271 states/eV per atom
Total magnetization = 0.000 μB/f.u.
Total energy = -4.943 eV per atom

a b c (Å): 12.2938 12.2938 3.5540
angles (deg): 90.00 90.00 112.47
Closest atoms and distances in Å follow each position.
Sites, in units of the cell vectors:
Ho: 0.0000 0.0000 0.0000  8 Ga 3.07
Ho: 0.0744 0.4142 0.0000  2 Co 2.65
Ho: 0.1682 0.8318 0.0000  8 Ga 3.06-3.39, 2 Ho 3.34
Ho: 0.3107 0.3107 0.0000  4 Co 2.77
Ho: 0.3752 0.6248 0.0000  4 Co 2.81, 6 Ga 3.11-3.13
Ho: 0.4142 0.0744 0.0000  2 Co 2.65
Ho: 0.5858 0.9256 0.0000  2 Co 2.65
Ho: 0.6248 0.3752 0.0000  4 Co 2.81, 6 Ga 3.11-3.13
Ho: 0.6893 0.6893 0.0000  4 Co 2.77
Ho: 0.8318 0.1682 0.0000  8 Ga 3.06-3.39, 2 Ho 3.34
Ho: 0.9256 0.5858 0.0000  2 Co 2.65
Ga: 0.0813 0.2202 0.5000  1 Co 2.73, 1 Ga 2.84, 2 Ho 3.00
Ga: 0.1666 0.6284 0.5000  1 Co 2.74, 1 Ga 2.80, 4 Ho 3.02-3.06
Ga: 0.2202 0.0813 0.5000  1 Co 2.73, 1 Ga 2.84, 2 Ho 3.00
Ga: 0.3716 0.8334 0.5000  1 Co 2.74, 1 Ga 2.80, 4 Ho 3.02-3.06
Ga: 0.5000 0.5000 0.5000  4 Co 2.96, 8 Ho 3.11-3.14
Ga: 0.6284 0.1666 0.5000  1 Co 2.74, 1 Ga 2.80, 4 Ho 3.02-3.06
Ga: 0.7798 0.9187 0.5000  1 Co 2.73, 1 Ga 2.84, 2 Ho 3.00
Ga: 0.8334 0.3716 0.5000  1 Co 2.74, 1 Ga 2.80, 4 Ho 3.02-3.06
Ga: 0.9187 0.7798 0.5000  1 Co 2.73, 1 Ga 2.84, 2 Ho 3.00
Co: 0.2435 0.4463 0.5000  6 Ho 2.65-2.81, 3 Ga 2.73-2.96
Co: 0.4463 0.2435 0.5000  6 Ho 2.65-2.81, 3 Ga 2.73-2.96
Co: 0.5537 0.7565 0.5000  6 Ho 2.65-2.81, 3 Ga 2.73-2.96
Co: 0.7565 0.5537 0.5000  6 Ho 2.65-2.81, 3 Ga 2.73-2.96